The following is a PBE-GGA calculation of a relaxed structure of KHoOs, from the Open Quantum Materials Database.

The structure in extended XYZ format:
```
3
Lattice="1.3031 -2.3610 4.0617 2.0654 2.4394 3.6814 -2.4740 0.7208 4.1388" Properties=species:S:1:pos:R:3 pbc="T T T"
Ho 0.2236 0.1998 2.9705
K 0.6709 0.5994 8.9114
Os 0.0000 0.0000 0.0000
```

- Relative energy among the computed polymorphs: 0.000 kcal/mol of atoms

The following is a PBE-GGA calculation of a relaxed structure of K3HoP2, from the Open Quantum Materials Database.

The structure in extended XYZ format:
```
12
Lattice="3.5123 -2.1754 -8.1729 3.1262 -0.2804 8.6030 -5.6424 -5.7720 -4.3257" Properties=species:S:1:pos:R:3 pbc="T T T"
P -1.6346 -5.0685 -3.7102
K 1.9157 -5.4654 -2.3165
P -2.2428 -5.6701 2.2417
Ho 4.9789 -1.8418 0.3226
Ho 1.6596 -0.6139 0.1075
K -0.9196 -2.7624 -1.5790
K 3.2301 -0.8918 3.5088
K 0.4015 -3.6402 2.2462
P 2.6307 -3.1593 -0.1853
P 3.2389 -2.5578 -6.1372
K -2.2340 -7.3360 -7.4043
K 0.5946 -4.5876 -6.1417
```

The following is a PBE-GGA calculation of a relaxed structure of KRbHo2P2, from the Open Quantum Materials Database.

The structure in extended XYZ format:
```
6
Lattice="-4.7203 0.7978 1.1829 -0.7370 -4.8640 0.3394 1.9422 0.2354 7.5916" Properties=species:S:1:pos:R:3 pbc="T T T"
P 1.6149 0.1957 6.3125
Rb -1.5333 -1.8883 5.4335
K 0.7378 0.0894 2.8841
Ho -0.3625 -2.4313 0.1934
Ho -2.3541 0.3996 0.6151
P -2.4046 -1.9938 2.0279
```

The following is a PBE-GGA calculation of a relaxed structure of KHoPb, from the Open Quantum Materials Database.

The structure in extended XYZ format:
```
3
Lattice="1.0696 -5.2628 -0.0547 -3.7705 -3.5222 1.4905 -2.3111 -3.1720 -3.6662" Properties=species:S:1:pos:R:3 pbc="T T T"
K -1.2530 -2.9893 -0.5576
Pb -3.7590 -8.9678 -1.6728
Ho 0.0000 0.0000 0.0000
```

- Relative energy among the computed polymorphs: 0.000 kcal/mol of atoms

The following is a PBE-GGA calculation of a relaxed structure of KHoPbSe3, from the Open Quantum Materials Database.

The structure in extended XYZ format:
```
12
Lattice="2.0809 -8.8341 0.0000 2.0809 8.8341 0.0000 0.0000 0.0000 12.0122" Properties=species:S:1:pos:R:3 pbc="T T T"
Se 2.0809 1.9436 11.9931
K 2.0809 2.7672 3.0031
Se 2.0809 -8.8294 9.0092
K 2.0809 -2.7672 9.0092
Ho 0.0000 0.0000 0.0000
Se 2.0809 1.9436 6.0252
Pb 2.0809 1.9631 9.0092
Se 2.0809 -1.9436 5.9870
Pb 2.0809 -1.9631 3.0031
Ho 0.0000 0.0000 6.0061
Se 2.0809 -1.9436 0.0191
Se 2.0809 8.8294 3.0031
```

- Relative energy among the computed polymorphs: 1.967 kcal/mol of atoms

The following is a PBE-GGA calculation of a relaxed structure of KHoPbSe3, from the Open Quantum Materials Database.

The structure in extended XYZ format:
```
12
Lattice="9.2059 -2.1189 0.0000 9.2059 2.1189 0.0000 -2.3263 0.0000 9.6624" Properties=species:S:1:pos:R:3 pbc="T T T"
K 14.7316 0.0000 4.1393
Se 5.7835 0.0000 1.1798
Se 11.7249 0.0000 2.6544
Se 10.3020 0.0000 8.4826
Se 0.0000 0.0000 0.0000
Ho 2.9970 0.0000 0.7637
Pb 7.2463 0.0000 7.5306
Pb 8.8392 0.0000 2.1318
Se 4.3606 0.0000 7.0080
K 1.3538 0.0000 5.5231
Se 8.0427 0.0000 4.8312
Ho 13.0885 0.0000 8.8987
```

- Relative energy among the computed polymorphs: 0.000 kcal/mol of atoms

The following is a PBE-GGA calculation of a relaxed structure of KHoTe3Pb, from the Open Quantum Materials Database.

The structure in extended XYZ format:
```
12
Lattice="9.8262 -2.2591 0.0000 9.8262 2.2591 0.0000 -2.4195 0.0000 10.2722" Properties=species:S:1:pos:R:3 pbc="T T T"
Te 8.6165 0.0000 5.1361
Pb 9.4847 0.0000 2.2462
Ho 3.2071 0.0000 0.8009
Te 6.1991 0.0000 1.3113
Te 4.7043 0.0000 7.4017
Te 11.0339 0.0000 8.9609
Te 12.5287 0.0000 2.8705
Pb 7.7482 0.0000 8.0260
Ho 14.0259 0.0000 9.4713
Te 0.0000 0.0000 0.0000
K 1.4566 0.0000 5.8612
K 15.7764 0.0000 4.4110
```

- Relative energy among the computed polymorphs: 0.000 kcal/mol of atoms

The following is a PBE-GGA calculation of a relaxed structure of KHoTe3Pb, from the Open Quantum Materials Database.

The structure in extended XYZ format:
```
12
Lattice="2.2046 -8.9713 0.0000 2.2046 8.9713 0.0000 0.0000 0.0000 12.8113" Properties=species:S:1:pos:R:3 pbc="T T T"
Pb 2.2046 1.9735 3.2028
K 2.2046 3.1256 9.6085
K 2.2046 -3.1256 3.2028
Te 2.2046 8.8589 3.2028
Te 2.2046 2.1281 6.3849
Pb 2.2046 -1.9735 9.6085
Ho 0.0000 0.0000 0.0000
Te 2.2046 -2.1281 12.7905
Te 2.2046 2.1281 0.0208
Ho 0.0000 0.0000 6.4056
Te 2.2046 -8.8589 9.6085
Te 2.2046 -2.1281 6.4264
```

- Relative energy among the computed polymorphs: 2.036 kcal/mol of atoms

The following is a PBE-GGA calculation of a relaxed structure of KHoPdS3, from the Open Quantum Materials Database.

The structure in extended XYZ format:
```
12
Lattice="8.5697 0.0000 0.0000 0.0000 4.0300 0.0000 -2.7313 0.0000 8.9812" Properties=species:S:1:pos:R:3 pbc="T T T"
Pd 0.5879 3.0225 0.7451
Ho 1.8594 1.0075 3.2000
S 5.8351 1.0075 5.8195
Pd 5.2505 1.0075 8.2361
S 2.1148 1.0075 5.8723
S 4.1337 3.0225 8.6117
S 3.7237 3.0225 3.1089
S 1.7047 1.0075 0.3694
S 0.0034 3.0225 3.1616
K 6.1104 1.0075 2.4617
K -0.2720 3.0225 6.5195
Ho 3.9790 3.0225 5.7811
```

The following is a PBE-GGA calculation of a relaxed structure of KHoPdSe3, from the Open Quantum Materials Database.

The structure in extended XYZ format:
```
12
Lattice="8.8785 0.0000 0.0000 0.0000 4.1546 0.0000 -3.1366 0.0000 9.2361" Properties=species:S:1:pos:R:3 pbc="T T T"
K 4.6038 1.0387 7.0295
Se 3.5893 1.0387 1.4831
Pd -1.0394 3.1160 5.4135
Ho 0.1611 1.0387 7.9166
Se 5.5038 3.1160 4.2758
Se -1.8018 3.1160 7.9122
Se 7.5437 1.0387 1.3239
Pd 6.7813 1.0387 3.8227
Se 0.2381 1.0387 4.9604
Ho 5.5808 3.1160 1.3195
Se 2.1526 3.1160 7.7530
K 1.1381 3.1160 2.2067
```

The following is a PBE-GGA calculation of a relaxed structure of KHoTe3Pd, from the Open Quantum Materials Database.

The structure in extended XYZ format:
```
12
Lattice="2.2037 -8.8023 0.0000 2.2037 8.8023 0.0000 0.0000 0.0000 10.1048" Properties=species:S:1:pos:R:3 pbc="T T T"
Te 2.2037 -7.0661 7.5786
K 2.2037 -4.4901 2.5262
Pd 2.2037 0.0829 7.5786
Te 2.2037 7.0661 2.5262
Te 2.2037 2.0040 0.8634
Ho 0.0000 0.0000 0.0000
K 2.2037 4.4901 7.5786
Te 2.2037 -2.0040 9.2414
Ho 0.0000 0.0000 5.0524
Te 2.2037 -2.0040 5.9159
Pd 2.2037 -0.0829 2.5262
Te 2.2037 2.0040 4.1890
```

- Relative energy among the computed polymorphs: 0.000 kcal/mol of atoms

The following is a PBE-GGA calculation of a relaxed structure of KHoTe3Pd, from the Open Quantum Materials Database.

The structure in extended XYZ format:
```
12
Lattice="-4.6954 6.4304 -5.4672 -3.5683 -2.4235 0.2141 -0.7211 1.9805 10.3976" Properties=species:S:1:pos:R:3 pbc="T T T"
Te -3.7394 0.4918 8.5809
Te -5.2455 5.4956 -3.4364
Te -6.7718 4.2646 0.7484
Te -2.2131 1.7228 4.3961
K -3.9034 0.1070 1.4948
K -5.0815 5.8803 3.6498
Te -5.8017 3.2924 5.9129
Te -3.1832 2.6949 -0.7683
Ho -5.9985 2.8799 -2.0367
Pd -5.3929 5.9488 -0.7634
Pd -3.5920 0.0385 5.9080
Ho -2.9864 3.1075 7.1812
```

- Relative energy among the computed polymorphs: 0.614 kcal/mol of atoms

The following is a PBE-GGA calculation of a relaxed structure of KPmHo, from the Open Quantum Materials Database.

The structure in extended XYZ format:
```
3
Lattice="0.0000 4.1652 4.1652 4.1652 0.0000 4.1652 4.1652 4.1652 0.0000" Properties=species:S:1:pos:R:3 pbc="T T T"
K 2.0826 2.0826 2.0826
Pm 6.2478 6.2478 6.2478
Ho 0.0000 0.0000 0.0000
```

- Relative energy among the computed polymorphs: 0.000 kcal/mol of atoms

The following is a PBE-GGA calculation of a relaxed structure of KHoTe3Pt, from the Open Quantum Materials Database.

The structure in extended XYZ format:
```
12
Lattice="2.1430 -8.8041 0.0000 2.1430 8.8041 0.0000 0.0000 0.0000 10.3908" Properties=species:S:1:pos:R:3 pbc="T T T"
Pt 2.1430 -8.7439 2.5977
Te 2.1430 -6.7452 4.3526
Te 2.1430 -6.7452 0.8428
Te 2.1430 6.7452 9.5480
Ho 2.1430 0.0000 0.0000
Te 2.1430 6.7452 6.0382
Te 2.1430 -1.6214 2.5977
K 2.1430 4.3110 2.5977
Pt 2.1430 8.7439 7.7931
K 2.1430 -4.3110 7.7931
Ho 2.1430 0.0000 5.1954
Te 2.1430 1.6214 7.7931
```

The following is a PBE-GGA calculation of a relaxed structure of KHoPu, from the Open Quantum Materials Database.

The structure in extended XYZ format:
```
3
Lattice="1.1515 -5.5711 -0.9545 -2.6808 -4.0693 3.0869 -3.9554 -3.3762 -2.4961" Properties=species:S:1:pos:R:3 pbc="T T T"
Pu -4.1135 -9.7625 -0.2728
K -1.3712 -3.2542 -0.0909
Ho 0.0000 0.0000 0.0000
```

- Relative energy among the computed polymorphs: 0.000 kcal/mol of atoms

The following is a PBE-GGA calculation of a relaxed structure of KRbHo2Sb2, from the Open Quantum Materials Database.

The structure in extended XYZ format:
```
6
Lattice="-1.0174 2.9422 4.1084 -4.7075 -2.0755 0.3207 3.0774 -6.1785 5.1868" Properties=species:S:1:pos:R:3 pbc="T T T"
Ho 1.0246 -1.6073 4.6385
K 0.4188 -0.8409 0.7059
Ho -0.8204 -4.1161 2.7446
Sb 2.1425 -4.3016 3.6111
Rb -0.1935 -4.9250 6.7128
Sb -1.9270 -1.4447 3.7911
```

The following is a PBE-GGA calculation of a relaxed structure of KHo2S4, from the Open Quantum Materials Database.

The structure in extended XYZ format:
```
14
Lattice="0.0000 5.8947 5.8947 5.8947 0.0000 5.8947 5.8947 5.8947 0.0000" Properties=species:S:1:pos:R:3 pbc="T T T"
S 7.5951 4.1943 7.5951
K 5.8947 5.8947 5.8947
S 10.5424 7.1417 7.1417
Ho 1.4737 4.4210 4.4210
Ho 4.4210 4.4210 1.4737
S 4.1943 7.5951 7.5951
S 4.1943 4.1943 4.1943
S 7.5951 7.5951 4.1943
Ho 4.4210 1.4737 4.4210
K 8.8420 8.8420 8.8420
S 10.5424 10.5424 10.5424
S 7.1417 10.5424 7.1417
S 7.1417 7.1417 10.5424
Ho 1.4737 1.4737 1.4737
```

The following is a PBE-GGA calculation of a relaxed structure of KHoSeS, from the Open Quantum Materials Database.

The structure in extended XYZ format:
```
4
Lattice="2.0550 1.1865 7.5131 -2.0550 1.1865 7.5131 0.0000 -2.3729 7.5131" Properties=species:S:1:pos:R:3 pbc="T T T"
Se 0.0000 0.0000 16.5754
K 0.0000 0.0000 11.2944
S 0.0000 0.0000 6.0133
Ho 0.0000 0.0000 22.4652
```

The following is a PBE-GGA calculation of a relaxed structure of KSrHoS3, from the Open Quantum Materials Database.

The structure in extended XYZ format:
```
12
Lattice="8.7900 -2.0543 0.0000 8.7900 2.0543 0.0000 -2.4622 0.0000 9.4258" Properties=species:S:1:pos:R:3 pbc="T T T"
S 11.1594 0.0000 2.5104
S 7.5588 0.0000 4.7129
S 0.0000 0.0000 0.0000
Sr 8.2959 0.0000 2.0411
S 9.5865 0.0000 8.3479
Sr 6.8218 0.0000 7.3847
S 5.5312 0.0000 1.0779
K 1.1659 0.0000 5.3597
K 13.9518 0.0000 4.0661
S 3.9583 0.0000 6.9154
Ho 2.8661 0.0000 0.8032
Ho 12.2516 0.0000 8.6226
```

The following is a PBE-GGA calculation of a relaxed structure of KHoZnS3, from the Open Quantum Materials Database.

The structure in extended XYZ format:
```
12
Lattice="8.6305 0.0000 0.0000 0.0000 3.9698 0.0000 -2.9002 0.0000 9.0623" Properties=species:S:1:pos:R:3 pbc="T T T"
Zn 0.4079 0.9925 0.9795
Zn 5.3225 2.9774 8.0828
Ho 3.9420 0.9925 5.7953
K -0.2888 0.9925 6.6842
S 3.6405 0.9925 3.1348
S 4.1057 0.9925 8.6989
S 2.0898 2.9774 5.9275
S 1.6247 2.9774 0.3634
S -0.1071 0.9925 3.2212
Ho 1.7883 2.9774 3.2670
S 5.8375 2.9774 5.8411
K 6.0191 2.9774 2.3781
```

| no. | VASP energy (eV per atom) | calculated density (Mg/m³) |
| --- | --- | --- |
| 1 | -4.586 | 7.99 |
| 2 | -3.777 | 2.75 |
| 3 | -4.369 | 4.50 |
| 4 | -2.917 | 6.23 |
| 5 | -4.494 | 4.87 |
| 6 | -4.580 | 5.71 |
| 7 | -4.112 | 5.78 |
| 8 | -4.024 | 5.20 |
| 9 | -5.096 | 4.35 |
| 10 | -4.712 | 5.34 |
| 11 | -4.351 | 5.87 |
| 12 | -4.324 | 5.67 |
| 13 | -2.324 | 4.01 |
| 14 | -4.463 | 6.62 |
| 15 | -5.369 | 5.48 |
| 16 | -3.852 | 5.05 |
| 17 | -5.432 | 4.03 |
| 18 | -5.142 | 4.76 |
| 19 | -5.136 | 3.78 |
| 20 | -4.711 | 3.91 |